(1)
This record from the Alexandria database describes an optimized crystal structure of Ho2BRu. The functional is PBE.

Cell and atoms, written as extended XYZ:
```
16
Lattice="-5.016 1.018 -2.923 -1.366 -6.809 -0.028 -3.172 3.582 6.690" Properties=species:S:1:pos:R:3 pbc="T T T"
Ho -4.349 0.950 -0.895
Ho -4.332 0.207 4.759
Ho -5.205 -3.159 4.634
Ho -5.222 -2.415 -1.020
Ho -6.996 -0.906 2.887
Ho -3.146 -4.725 0.894
Ho -2.558 -1.302 0.852
Ho -6.408 2.517 2.846
B -5.151 -0.815 1.078
B -2.507 1.764 3.381
B -4.403 -1.394 2.661
B -7.047 -3.973 0.358
Ru -4.174 0.817 2.147
Ru -6.662 0.778 0.460
Ru -5.380 -3.026 1.592
Ru -2.892 -2.986 3.279
```

Summary:
Fermi-level density of states: 11.5 states/eV per cell
ΔE_f: -0.31 eV per atom


(2)
This record from the Alexandria database describes an optimized crystal structure of Na3In3IO8. The functional is PBE.

Cell and atoms, written as extended XYZ:
```
15
Lattice="6.762 0.000 0.000 -3.381 5.779 -0.033 0.000 -3.846 5.560" Properties=species:S:1:pos:R:3 pbc="T T T"
Na 0.000 0.000 0.000
Na -1.690 2.890 -0.017
Na 1.690 2.890 -0.017
In 3.381 -1.923 2.780
In 1.690 0.967 2.763
In -1.690 0.967 2.763
I 0.000 -1.923 2.780
O 0.000 1.905 1.560
O 3.381 0.029 3.966
O 3.381 1.943 1.667
O 0.000 -0.010 3.859
O 5.025 -0.953 1.675
O -1.644 2.886 3.851
O 1.737 -0.953 1.675
O 1.644 2.886 3.851
```

Summary:
Fermi-level density of states: 2.6 states/eV per cell
E_form (uncorrected): -1.22 eV/atom


(3)
This record from the Alexandria database describes an optimized crystal structure of MgMoBr2. The functional is PBE.

Cell and atoms, written as extended XYZ:
```
4
Lattice="-5.314 4.032 0.556 -6.164 -1.296 2.263 6.551 -0.659 1.207" Properties=species:S:1:pos:R:3 pbc="T T T"
Br 0.000 0.000 0.000
Br -2.676 -0.294 2.440
Mg -5.739 1.368 1.409
Mo -2.251 2.370 1.586
```

Summary:
Fermi-level density of states: 2.1 states/eV per cell
E_form (uncorrected): 0.40 eV/atom


(4)
This record from the Alexandria database describes an optimized crystal structure of BaTeIr. The functional is PBE.

Cell and atoms, written as extended XYZ:
```
3
Lattice="5.429 0.000 0.000 2.714 4.702 0.000 2.714 1.567 4.433" Properties=species:S:1:pos:R:3 pbc="T T T"
Ba 8.143 4.702 3.324
Ir 0.000 0.000 0.000
Te 5.429 3.134 2.216
```

Summary:
Fermi-level density of states: 3.4 states/eV per cell
E_form (uncorrected): 0.69 eV/atom


(5)
This record from the Alexandria database describes an optimized crystal structure of LiSn2HPb. The functional is PBE.

Cell and atoms, written as extended XYZ:
```
5
Lattice="4.830 0.000 0.000 0.000 4.830 0.000 0.000 0.000 4.649" Properties=species:S:1:pos:R:3 pbc="T T T"
Pb 2.415 2.415 2.324
H 0.000 0.000 0.000
Sn 0.000 2.415 0.000
Sn 2.415 0.000 0.000
Li 0.000 0.000 2.324
```

Summary:
Fermi-level density of states: 1.6 states/eV per cell
Total energy: -3.35 eV/atom


(6)
This record from the Alexandria database describes an optimized crystal structure of K4Sm3YSe8. The functional is PBE.

Cell and atoms, written as extended XYZ:
```
16
Lattice="8.557 0.000 0.000 0.000 9.138 0.402 -4.279 -4.275 6.054" Properties=species:S:1:pos:R:3 pbc="T T T"
K 4.279 0.000 0.000
K 2.139 -2.138 3.027
K 0.000 0.000 0.000
K -2.139 -2.138 3.027
Sm 4.279 4.569 0.201
Sm 2.139 2.431 3.228
Sm -2.139 2.431 3.228
Y 0.000 4.569 0.201
Se -2.166 2.302 6.180
Se 0.000 4.466 3.116
Se 0.000 0.402 3.306
Se 2.166 2.302 6.180
Se 2.113 2.561 0.276
Se 4.279 4.460 3.149
Se 4.279 0.396 3.340
Se 6.445 2.561 0.276
```

Summary:
Fermi-level density of states: 0.0 states/eV per cell
E_form (uncorrected): -1.76 eV/atom


(7)
This record from the Alexandria database describes an optimized crystal structure of Li2PrErAu4. The functional is PBE.

Cell and atoms, written as extended XYZ:
```
8
Lattice="4.616 0.000 0.000 2.308 3.998 0.000 2.308 1.333 9.143" Properties=species:S:1:pos:R:3 pbc="T T T"
Li 6.924 3.998 6.715
Li 2.308 1.333 2.428
Pr 0.000 0.000 0.000
Er 4.616 2.665 4.571
Au 4.616 2.665 7.499
Au 6.924 3.998 3.178
Au 2.308 1.333 5.965
Au 4.616 2.665 1.644
```

Summary:
Fermi-level density of states: 5.4 states/eV per cell
ΔE_f: -0.71 eV per atom


(8)
This record from the Alexandria database describes an optimized crystal structure of Ti2NbReMo. The functional is PBE.

Cell and atoms, written as extended XYZ:
```
5
Lattice="-0.271 -3.440 2.907 4.830 -0.031 0.414 -0.275 2.919 3.429" Properties=species:S:1:pos:R:3 pbc="T T T"
Re 2.142 -0.276 3.375
Mo 0.000 0.000 0.000
Nb 2.415 -0.016 0.207
Ti -0.137 1.460 1.714
Ti -0.136 -1.720 1.453
```

Summary:
Fermi-level density of states: 7.3 states/eV per cell
ΔE_f: 1.36 eV per atom


Question: Which formula does entry 3 have?
Answer: MgMoBr2